(1)
The following is a PBE calculation of crystalline CaSiP at its relaxed geometry, from the Alexandria database.

a = 5.5668 Å, b = 5.5633 Å, c = 3.3939 Å
α = 72.30°, β = 72.19°, γ = 35.51°
Last column: nearest neighbours and their distance in Å.
Fractional coordinates of all 3 atoms:
Ca 0.0001 0.0001 0.9999  5 P 2.88-3.22, 5 Si 2.88-3.22
P 0.2871 0.2871 0.7129  4 Si 2.51-2.52
Si 0.7128 0.7128 0.2872  4 P 2.51-2.52

## Properties
space group	Fmm2, No. 42
crystal system	orthorhombic
density of states at the Fermi level	0.4474	states/eV per atom

---

(2)
The following is a PBE calculation of crystalline CaSiP at its relaxed geometry, from the Alexandria database.

a = 7.1912 Å, b = 7.4454 Å, c = 6.7678 Å
α = 45.64°, β = 90.00°, γ = 90.00°
Last column: nearest neighbours and their distance in Å.
Fractional coordinates of all 12 atoms:
Si 0.6836 0.8241 0.1704  2 P 2.27-2.36
Si 0.8164 0.8241 0.6704  2 P 2.27-2.36
Si 0.1836 0.1759 0.3296  2 P 2.27-2.36
Si 0.3164 0.1759 0.8296  2 P 2.27-2.36
Ca 0.4142 0.6677 0.6461  4 P 2.91-3.00, 4 Si 3.01-3.21
Ca 0.5858 0.3323 0.3539  4 P 2.91-3.00, 4 Si 3.01-3.21
Ca 0.0858 0.6677 0.1461  4 P 2.91-3.00, 4 Si 3.01-3.21
Ca 0.9142 0.3323 0.8539  4 P 2.91-3.00, 4 Si 3.01-3.21
P 0.9525 0.1367 0.6054  2 Si 2.27-2.36
P 0.0475 0.8633 0.3946  2 Si 2.27-2.36
P 0.5475 0.1367 0.1054  2 Si 2.27-2.36
P 0.4525 0.8633 0.8946  2 Si 2.27-2.36

## Properties
space group	P2_1/c, No. 14
crystal system	monoclinic
density of states at the Fermi level	0.2094	states/eV per atom

---

(3)
The following is a PBE calculation of crystalline CaSi2P at its relaxed geometry, from the Alexandria database.

a = 5.4779 Å, b = 5.4779 Å, c = 5.4779 Å
α = 144.69°, β = 128.67°, γ = 63.84°
Last column: nearest neighbours and their distance in Å.
Fractional coordinates of all 4 atoms:
Ca 0.7500 0.2500 0.5000  4 P 2.90, 8 Si 3.05-3.19
Si 0.4568 0.4568 0.0000  2 P 2.54
Si 0.0432 0.0432 0.0000  2 P 2.54
P 0.2500 0.7500 0.5000  4 Si 2.54

## Properties
space group	Immm, No. 71
crystal system	orthorhombic
density of states at the Fermi level	0.3720	states/eV per atom

---

(4)
The following is a PBE calculation of crystalline CaSi2P at its relaxed geometry, from the Alexandria database.

a = 3.8560 Å, b = 4.2468 Å, c = 5.1522 Å
α = 95.25°, β = 90.00°, γ = 90.00°
Last column: nearest neighbours and their distance in Å.
Fractional coordinates of all 4 atoms:
P 0.5000 0.0111 0.6953  3 Si 2.27-2.54
Si 0.5000 0.9237 0.2537  1 P 2.27, 2 Si 2.41
Si 0.0000 0.0754 0.0154  2 Si 2.41, 2 P 2.54
Ca 0.0000 0.4897 0.5356  4 P 2.97-2.99, 6 Si 3.07-3.31

## Properties
space group	Pm, No. 6
crystal system	monoclinic
density of states at the Fermi level	0.3122	states/eV per atom

---

(5)
The following is a PBE calculation of crystalline CaSiP at its relaxed geometry, from the Alexandria database.

a = 4.5503 Å, b = 3.7596 Å, c = 23.5523 Å
α = 96.68°, β = 90.00°, γ = 127.24°
Last column: nearest neighbours and their distance in Å.
Fractional coordinates of all 15 atoms:
Ca 0.3769 0.7537 0.1285  6 P 2.83-3.12
Ca 0.8056 0.6112 0.7303  3 P 2.81-2.85, 1 Si 3.10
Ca 0.6549 0.3097 0.8678  3 P 2.81-2.88
Ca 0.4228 0.8456 0.4760  4 P 2.85-2.98, 2 Si 3.11-3.16
Ca 0.2285 0.4569 0.2691  4 P 2.83-3.15, 1 Si 3.14
Si 0.3600 0.7200 0.6336  1 P 2.33, 3 Si 2.48-2.52
Si 0.7277 0.4554 0.5973  3 Si 2.48-2.52, 3 P 2.49-2.60
Si 0.1281 0.2562 0.9599  1 P 2.35, 3 Si 2.49-2.52
Si 0.6498 0.2997 0.3656  3 P 2.34-2.44
Si 0.5397 0.0793 0.9974  3 Si 2.49-2.52, 3 P 2.53-2.60
P 0.0434 0.0867 0.3874  3 Si 2.34-2.44
P 0.2319 0.4638 0.7982  6 Ca 2.81-2.88
P 0.8008 0.6016 0.1995  6 Ca 2.83-2.90
P 0.0808 0.1616 0.5533  4 Si 2.33-2.60
P 0.9493 0.8986 0.0425  4 Si 2.35-2.60

## Properties
space group	Cm, No. 8
crystal system	monoclinic
density of states at the Fermi level	0.4409	states/eV per atom

---

(6)
The following is a PBE calculation of crystalline CaSi3P at its relaxed geometry, from the Alexandria database.

a = 5.6329 Å, b = 5.6329 Å, c = 5.6329 Å
α = 131.98°, β = 131.98°, γ = 70.26°
Last column: nearest neighbours and their distance in Å.
Fractional coordinates of all 5 atoms:
P 0.3218 0.3218 0.0000  4 Si 2.42
Ca 0.9890 0.9890 0.0000  1 P 3.07, 9 Si 3.17-3.27
Si 0.6452 0.6452 0.0000  4 Si 2.44
Si 0.7364 0.2364 0.5000  2 P 2.42, 2 Si 2.44
Si 0.2364 0.7364 0.5000  2 P 2.42, 2 Si 2.44

## Properties
ΔE to the lowest computed polymorph	0	meV per atom
space group	I4mm, No. 107
crystal system	tetragonal
density of states at the Fermi level	0.3021	states/eV per atom

---

(7)
The following is a PBE calculation of crystalline Ca2SiP2 at its relaxed geometry, from the Alexandria database.

a = 4.9926 Å, b = 4.9926 Å, c = 6.0655 Å
α = 65.70°, β = 65.70°, γ = 90.00°
Last column: nearest neighbours and their distance in Å.
Fractional coordinates of all 5 atoms:
Ca 0.7500 0.2500 0.5000  4 P 2.86
Ca 0.2500 0.7500 0.5000  4 P 2.86
P 0.6089 0.6089 0.7823  1 P 2.15
P 0.3911 0.3911 0.2177  1 P 2.15
Si 0.0000 0.0000 0.0000  8 Ca 3.51, 10 P 3.69-3.86

## Properties
ΔE to the lowest computed polymorph	447	meV per atom
space group	I4/mmm, No. 139
crystal system	tetragonal
density of states at the Fermi level	0.5068	states/eV per atom

---

(8)
The following is a PBE calculation of crystalline CaSiP at its relaxed geometry, from the Alexandria database.

a = 4.1902 Å, b = 4.1902 Å, c = 8.2718 Å
α = 90.00°, β = 90.00°, γ = 120.00°
Last column: nearest neighbours and their distance in Å.
Fractional coordinates of all 6 atoms:
Ca 0.0000 0.0000 0.5000  6 Si 3.18, 6 P 3.18
Ca 0.0000 0.0000 0.0000  6 P 3.18, 6 Si 3.18
P 0.3333 0.6667 0.2500  3 Si 2.42
P 0.6667 0.3333 0.7500  3 Si 2.42
Si 0.3333 0.6667 0.7500  3 P 2.42
Si 0.6667 0.3333 0.2500  3 P 2.42

## Properties
space group	P6_3/mmc, No. 194
crystal system	hexagonal
density of states at the Fermi level	0.4197	states/eV per atom

---

Let's list size of the total moment in order: 0.00 0.00 0.00 0.00 0.00 0.00 0.00 0.00 Bohr magnetons per cell.
Let's list formation energy without anion corrections in order: -354 -488 -74 -155 -430 -59 -165 -401 meV per atom.